(1)
Computed, not measured: a relaxed LiIn5Pt crystal at the PBE-GGA level of DFT.

The calculation puts the spin magnetization at 0.00 μB per formula unit. As for the formation energy: -1.9 eV/f.u. The symmetry is P4/mmm (123).

abc: 4.6386 4.6386 7.5477
angles: 90.00 90.00 90.00
Closest atoms and distances in Å follow each position.
Positions (direct):
In  0.0000  0.5000  0.2884  2 Pt 2.82
In  0.5000  0.0000  0.7116  2 Pt 2.82
Pt  0.0000  0.0000  0.5000  8 In 2.82
In  0.5000  0.5000  0.0000  8 In 3.18, 4 Li 3.28
Li  0.0000  0.0000  0.0000  12 In 3.18-3.28
In  0.0000  0.5000  0.7116  2 Pt 2.82
In  0.5000  0.0000  0.2884  2 Pt 2.82


(2)
Computed, not measured: a relaxed Li8InPt2 crystal at the PBE-GGA level of DFT.

The calculation puts the spin magnetization at 0.00 μB per formula unit. As for the formation energy: -2.9 eV/f.u. The symmetry is C2/m (12).

abc: 4.7139 7.5044 6.9242
angles: 57.19 80.95 73.13
Closest atoms and distances in Å follow each position.
Positions (direct):
Pt  0.0000  0.6833  0.6334  8 Li 2.50-2.59
Li  0.0940  0.9344  0.7424  2 Pt 2.54-2.59, 1 Li 2.79
Pt  0.0000  0.3167  0.3666  8 Li 2.50-2.59
Li  0.5000  0.2462  0.5077  2 Pt 2.50
Li  0.9060  0.0656  0.2576  2 Pt 2.54-2.59, 1 Li 2.79
Li  0.9060  0.3232  0.7424  2 Pt 2.54-2.59, 1 Li 2.79
Li  0.2947  0.3935  0.0000  2 Pt 2.54, 2 Li 2.77-2.85, 1 In 2.83
Li  0.0940  0.6768  0.2576  2 Pt 2.54-2.59, 1 Li 2.79
Li  0.5000  0.7538  0.4923  2 Pt 2.50
Li  0.7053  0.6065  0.0000  2 Pt 2.54, 2 Li 2.77-2.85, 1 In 2.83
In  0.5000  0.0000  0.0000  12 Li 2.83-3.14


(3)
Computed, not measured: a relaxed Li8In6Pt crystal at the PBE-GGA level of DFT.

The calculation puts the spin magnetization at 0.00 μB per formula unit. As for the formation energy: -4.3 eV/f.u. The symmetry is R-3 (148).

abc: 7.5638 7.5638 7.3791
angles: 59.17 59.17 60.00
Closest atoms and distances in Å follow each position.
Positions (direct):
In  0.0344  0.2688  0.1451  5 Li 2.78-3.05, 1 Pt 2.90, 1 In 2.96
Li  0.1289  0.8239  0.3777  3 In 2.78-2.88, 1 Pt 2.86, 3 Li 2.87-3.06
In  0.7312  0.4482  0.8549  5 Li 2.78-3.05, 1 Pt 2.90, 1 In 2.96
In  0.2688  0.5518  0.1451  5 Li 2.78-3.05, 1 Pt 2.90, 1 In 2.96
Li  0.1761  0.3305  0.6223  3 In 2.78-2.88, 1 Pt 2.86, 3 Li 2.87-3.06
Pt  0.0000  0.0000  0.0000  6 Li 2.86, 6 In 2.90
Li  0.6695  0.1289  0.3777  3 In 2.78-2.88, 1 Pt 2.86, 3 Li 2.87-3.06
In  0.4482  0.9656  0.8549  5 Li 2.78-3.05, 1 Pt 2.90, 1 In 2.96
Li  0.4162  0.4162  0.7513  4 Li 2.87-2.99, 6 In 2.99-3.05
Li  0.8239  0.6695  0.3777  3 In 2.78-2.88, 1 Pt 2.86, 3 Li 2.87-3.06
In  0.9656  0.7312  0.8549  5 Li 2.78-3.05, 1 Pt 2.90, 1 In 2.96
Li  0.8711  0.1761  0.6223  3 In 2.78-2.88, 1 Pt 2.86, 3 Li 2.87-3.06
In  0.5518  0.0344  0.1451  5 Li 2.78-3.05, 1 Pt 2.90, 1 In 2.96
Li  0.3305  0.8711  0.6223  3 In 2.78-2.88, 1 Pt 2.86, 3 Li 2.87-3.06
Li  0.5838  0.5838  0.2487  4 Li 2.87-2.99, 6 In 2.99-3.05


(4)
Computed, not measured: a relaxed LiInPt3 crystal at the PBE-GGA level of DFT.

The calculation puts the spin magnetization at 0.00 μB per formula unit. As for the formation energy: 3.6 eV/f.u. The symmetry is Pm-3m (221).

abc: 4.9987 4.9987 4.9987
angles: 90.00 90.00 90.00
Closest atoms and distances in Å follow each position.
Positions (direct):
Pt  0.0000  0.0000  0.5000  2 In 2.50
Pt  0.0000  0.5000  0.0000  2 In 2.50
Pt  0.5000  0.0000  0.0000  2 In 2.50
Li  0.5000  0.5000  0.5000  12 Pt 3.53
In  0.0000  0.0000  0.0000  6 Pt 2.50


(5)
Computed, not measured: a relaxed Li3In2Pt3 crystal at the PBE-GGA level of DFT.

The calculation puts the spin magnetization at 0.00 μB per formula unit. As for the formation energy: -4.6 eV/f.u. The symmetry is Pmmm (47).

abc: 4.1376 4.0375 7.7116
angles: 90.00 90.00 90.00
Closest atoms and distances in Å follow each position.
Positions (direct):
Pt  0.0000  0.5000  0.5000  4 Li 2.73, 4 In 2.79, 4 Pt 2.89
In  0.0000  0.0000  0.7489  6 Pt 2.79-2.82, 6 Li 2.83-2.89
Pt  0.0000  0.5000  0.0000  4 In 2.80, 8 Li 2.89-2.93
Li  0.5000  0.5000  0.2687  6 Pt 2.69-2.93, 2 Li 2.89, 4 In 2.89
In  0.0000  0.0000  0.2511  6 Pt 2.79-2.82, 6 Li 2.83-2.89
Li  0.5000  0.0000  0.0000  4 In 2.83, 4 Pt 2.89, 4 Li 2.89
Li  0.5000  0.5000  0.7313  6 Pt 2.69-2.93, 2 Li 2.89, 4 In 2.89
Pt  0.5000  0.0000  0.5000  4 Li 2.69, 4 In 2.82, 4 Pt 2.89


(6)
Computed, not measured: a relaxed Li2In8Pt crystal at the PBE-GGA level of DFT.

The calculation puts the spin magnetization at 0.00 μB per formula unit. As for the formation energy: -2.4 eV/f.u. The symmetry is P4/mmm (123).

abc: 4.6372 4.6372 11.9991
angles: 90.00 90.00 90.00
Closest atoms and distances in Å follow each position.
Positions (direct):
In  0.5000  0.5000  0.6874  8 In 3.18-3.23, 4 Li 3.28
In  0.0000  0.5000  0.5000  4 Li 3.23, 8 In 3.23-3.28
In  0.5000  0.0000  0.5000  4 Li 3.23, 8 In 3.23-3.28
In  0.5000  0.0000  0.8689  2 Pt 2.80
In  0.5000  0.5000  0.3126  8 In 3.18-3.23, 4 Li 3.28
Li  0.0000  0.0000  0.3131  12 In 3.18-3.28
Pt  0.0000  0.0000  0.0000  8 In 2.80
In  0.0000  0.5000  0.8689  2 Pt 2.80
In  0.5000  0.0000  0.1311  2 Pt 2.80
Li  0.0000  0.0000  0.6869  12 In 3.18-3.28
In  0.0000  0.5000  0.1311  2 Pt 2.80


(7)
Computed, not measured: a relaxed LiIn3Pt crystal at the PBE-GGA level of DFT.

The calculation puts the spin magnetization at 0.00 μB per formula unit. As for the formation energy: -1.5 eV/f.u. The symmetry is C2/m (12).

abc: 6.8161 6.8161 6.9312
angles: 105.47 118.12 104.45
Closest atoms and distances in Å follow each position.
Positions (direct):
Pt  0.3561  0.2694  0.6255  2 Li 2.67-2.97, 6 In 2.70-2.77
In  0.2991  0.5973  0.8963  2 Pt 2.71-2.75, 1 Li 2.96, 2 In 3.01
Pt  0.6439  0.7306  0.3745  2 Li 2.67-2.97, 6 In 2.70-2.77
Li  0.6929  0.0480  0.7409  2 Pt 2.67-2.97, 1 Li 2.86, 1 In 2.96
In  0.7009  0.4027  0.1037  2 Pt 2.71-2.75, 1 Li 2.96, 2 In 3.01
In  0.8456  0.1142  0.3553  2 Pt 2.70-2.77, 1 In 3.01
In  0.7589  0.4904  0.6447  2 Pt 2.70-2.77, 1 In 3.01
In  0.1544  0.8858  0.6447  2 Pt 2.70-2.77, 1 In 3.01
In  0.2411  0.5096  0.3553  2 Pt 2.70-2.77, 1 In 3.01
Li  0.3071  0.9520  0.2591  2 Pt 2.67-2.97, 1 Li 2.86, 1 In 2.96


(8)
Computed, not measured: a relaxed Li2InPt crystal at the PBE-GGA level of DFT.

The calculation puts the spin magnetization at 0.00 μB per formula unit. As for the formation energy: -1.6 eV/f.u. The symmetry is C2/m (12).

abc: 5.5160 5.0995 2.8912
angles: 82.73 73.14 117.30
Closest atoms and distances in Å follow each position.
Positions (direct):
Li  0.0000  0.0000  0.0000  4 Li 2.72-2.89, 2 Pt 2.77, 2 In 2.77
Li  0.5000  0.0000  0.5000  4 Li 2.72-2.89, 2 In 2.77, 2 Pt 2.77
In  0.5000  0.5000  0.0000  2 Pt 2.72, 4 Li 2.77, 2 In 2.89
Pt  0.0000  0.5000  0.5000  2 In 2.72, 4 Li 2.77, 2 Pt 2.89